# NaMnCdF6

A relaxed structure of NaMnCdF6 (PBE with a Hubbard U, Alexandria via LeMat-Bulk).

Fermi-level density of states: 0.000 states/eV/atom
V: 13.97 Å³ per atom
raw total energy: -83.71 eV/cell

Lattice parameters (Å, degrees): 5.016 5.016 9.991 90.00 90.00 90.00
Space group P4_2nm (No. 102)
Symmetry-distinct sites (fractional):
Na  0.000  0.000  0.000 [2 per cell]
Mn  0.000  0.000  0.666 [2 per cell]
Cd  0.000  0.000  0.330 [2 per cell]
F  0.180  0.180  0.521 [4 per cell]
F  0.184  0.184  0.810 [4 per cell]
F  0.226  0.226  0.168 [4 per cell]